Material: SrYMg2
Method: DFT, PBE
State: relaxed

a = 5.689 Å, b = 3.879 Å, c = 5.689 Å
α = 90.00°, β = 90.00°, γ = 90.00°
Positions (direct):
Y  0.500  0.625  0.874
Sr  0.000  0.625  0.375
Mg  0.000  0.125  0.876
Mg  0.500  0.125  0.374

Properties
- Mass density: 3.0 g/cm3
- E_form: -0.030 eV/atom
- Magnetic moment: 0.00 μB per formula unit